1.
Compound: RuS2O
Source: the Alexandria database
Functional: PBE
Structure: relaxed

CIF file:
```
data_RuS2O
_symmetry_space_group_name_H-M 'P 1'
_symmetry_Int_Tables_number 1
_cell_length_a 4.1206
_cell_length_b 4.1206
_cell_length_c 4.1206
_cell_angle_alpha 60.00
_cell_angle_beta 60.00
_cell_angle_gamma 60.00
loop_
_symmetry_equiv_pos_as_xyz
'x,y,z'
loop_
_atom_site_label
_atom_site_fract_x
_atom_site_fract_y
_atom_site_fract_z
Ru1 0.5000 0.5000 0.5000
S1 0.2500 0.2500 0.2500
S2 0.7500 0.7500 0.7500
O1 0.0000 0.0000 0.0000
```

## Properties
Density of states at the Fermi level ... 0.6861 states/eV/atom
Uncorrected formation energy ... 0.5350 eV/atom
Space-group type ... Fm-3m (225)

2.
Compound: RuS2O
Source: the Alexandria database
Functional: PBE
Structure: relaxed

CIF file:
```
data_RuS2O
_symmetry_space_group_name_H-M 'P 1'
_symmetry_Int_Tables_number 1
_cell_length_a 5.2476
_cell_length_b 5.2476
_cell_length_c 6.1799
_cell_angle_alpha 64.88
_cell_angle_beta 64.88
_cell_angle_gamma 90.00
loop_
_symmetry_equiv_pos_as_xyz
'x,y,z'
loop_
_atom_site_label
_atom_site_fract_x
_atom_site_fract_y
_atom_site_fract_z
Ru1 0.0000 0.0000 0.0000
Ru2 0.7500 0.2500 0.5000
S1 0.6295 0.1250 0.2500
S2 0.1205 0.6250 0.2500
S3 0.3750 0.3705 0.7500
S4 0.8750 0.8795 0.7500
O1 0.5000 0.5000 0.0000
O2 0.2500 0.7500 0.5000
```

## Properties
Density of states at the Fermi level ... 0.0746 states/eV/atom
Uncorrected formation energy ... 0.2287 eV/atom
Space-group type ... I-42d (122)

3.
Compound: RuSO4
Source: the Alexandria database
Functional: PBE
Structure: relaxed

CIF file:
```
data_RuSO4
_symmetry_space_group_name_H-M 'P 1'
_symmetry_Int_Tables_number 1
_cell_length_a 5.6359
_cell_length_b 5.6272
_cell_length_c 7.7113
_cell_angle_alpha 90.00
_cell_angle_beta 90.00
_cell_angle_gamma 90.00
loop_
_symmetry_equiv_pos_as_xyz
'x,y,z'
loop_
_atom_site_label
_atom_site_fract_x
_atom_site_fract_y
_atom_site_fract_z
Ru1 0.0000 0.0000 0.0000
Ru2 0.5000 0.0000 0.5000
S1 0.0000 0.5000 0.0000
S2 0.0000 0.0000 0.5000
O1 0.1515 0.3358 0.1066
O2 0.1515 0.6642 0.8934
O3 0.8485 0.3358 0.8934
O4 0.8485 0.6642 0.1066
O5 0.8357 0.8530 0.6100
O6 0.8357 0.1470 0.3900
O7 0.1643 0.8530 0.3900
O8 0.1643 0.1470 0.6100
```

## Properties
Density of states at the Fermi level ... 0.4141 states/eV/atom
Uncorrected formation energy ... -0.5492 eV/atom
Space-group type ... P222 (16)

4.
Compound: SnRuS2O8
Source: the Alexandria database
Functional: PBE
Structure: relaxed

CIF file:
```
data_SnRuS2O8
_symmetry_space_group_name_H-M 'P 1'
_symmetry_Int_Tables_number 1
_cell_length_a 4.9584
_cell_length_b 4.9584
_cell_length_c 7.4057
_cell_angle_alpha 88.37
_cell_angle_beta 88.37
_cell_angle_gamma 64.48
loop_
_symmetry_equiv_pos_as_xyz
'x,y,z'
loop_
_atom_site_label
_atom_site_fract_x
_atom_site_fract_y
_atom_site_fract_z
Sn1 0.0000 0.0000 0.5000
Ru1 0.0000 0.0000 0.0000
S1 0.6408 0.6408 0.2178
S2 0.3592 0.3592 0.7822
O1 0.6986 0.2341 0.7880
O2 0.7517 0.7517 0.0616
O3 0.7127 0.7127 0.3982
O4 0.2873 0.2873 0.6018
O5 0.2483 0.2483 0.9384
O6 0.2341 0.6986 0.7880
O7 0.7659 0.3014 0.2120
O8 0.3014 0.7659 0.2120
```

## Properties
Uncorrected formation energy ... -1.0771 eV/atom
Space-group type ... C2/m (12)

5.
Compound: TeRuS2O
Source: the Alexandria database
Functional: PBE
Structure: relaxed

CIF file:
```
data_TeRuS2O
_symmetry_space_group_name_H-M 'P 1'
_symmetry_Int_Tables_number 1
_cell_length_a 5.0271
_cell_length_b 5.0804
_cell_length_c 5.0271
_cell_angle_alpha 90.00
_cell_angle_beta 90.00
_cell_angle_gamma 90.00
loop_
_symmetry_equiv_pos_as_xyz
'x,y,z'
loop_
_atom_site_label
_atom_site_fract_x
_atom_site_fract_y
_atom_site_fract_z
Ru1 0.0000 0.5000 0.0000
S1 0.0000 0.0000 0.5000
S2 0.5000 0.0000 0.0000
Te1 0.0000 0.0000 0.0000
O1 0.5000 0.5000 0.5000
```

## Properties
Density of states at the Fermi level ... 1.7004 states/eV/atom
Uncorrected formation energy ... 1.6291 eV/atom
Space-group type ... P4/mmm (123)

6.
Compound: ZnRuS2O
Source: the Alexandria database
Functional: PBE
Structure: relaxed

CIF file:
```
data_ZnRuS2O
_symmetry_space_group_name_H-M 'P 1'
_symmetry_Int_Tables_number 1
_cell_length_a 4.4423
_cell_length_b 5.1762
_cell_length_c 4.4423
_cell_angle_alpha 90.00
_cell_angle_beta 90.00
_cell_angle_gamma 90.00
loop_
_symmetry_equiv_pos_as_xyz
'x,y,z'
loop_
_atom_site_label
_atom_site_fract_x
_atom_site_fract_y
_atom_site_fract_z
Ru1 0.0000 0.5000 0.0000
Zn1 0.0000 0.0000 0.0000
S1 0.0000 0.0000 0.5000
S2 0.5000 0.0000 0.0000
O1 0.5000 0.5000 0.5000
```

## Properties
Density of states at the Fermi level ... 1.8500 states/eV/atom
Uncorrected formation energy ... 1.4782 eV/atom
Space-group type ... P4/mmm (123)

7.
Compound: SbRuO2
Source: the Alexandria database
Functional: PBE
Structure: relaxed

CIF file:
```
data_SbRuO2
_symmetry_space_group_name_H-M 'P 1'
_symmetry_Int_Tables_number 1
_cell_length_a 5.1386
_cell_length_b 5.1386
_cell_length_c 6.0431
_cell_angle_alpha 64.84
_cell_angle_beta 64.84
_cell_angle_gamma 90.00
loop_
_symmetry_equiv_pos_as_xyz
'x,y,z'
loop_
_atom_site_label
_atom_site_fract_x
_atom_site_fract_y
_atom_site_fract_z
Sb1 0.0000 0.0000 0.0000
Sb2 0.7500 0.2500 0.5000
O1 0.5602 0.1250 0.2500
O2 0.1898 0.6250 0.2500
O3 0.3750 0.4398 0.7500
O4 0.8750 0.8102 0.7500
Ru1 0.5000 0.5000 0.0000
Ru2 0.2500 0.7500 0.5000
```

## Properties
Density of states at the Fermi level ... 0.5415 states/eV/atom
Uncorrected formation energy ... -0.1216 eV/atom
Space-group type ... I-42d (122)

8.
Compound: SbRuO3
Source: the Alexandria database
Functional: PBE
Structure: relaxed

CIF file:
```
data_SbRuO3
_symmetry_space_group_name_H-M 'P 1'
_symmetry_Int_Tables_number 1
_cell_length_a 3.9358
_cell_length_b 3.9358
_cell_length_c 3.9358
_cell_angle_alpha 90.00
_cell_angle_beta 90.00
_cell_angle_gamma 90.00
loop_
_symmetry_equiv_pos_as_xyz
'x,y,z'
loop_
_atom_site_label
_atom_site_fract_x
_atom_site_fract_y
_atom_site_fract_z
Sb1 0.5000 0.5000 0.5000
O1 0.0000 0.5000 0.0000
O2 0.0000 0.0000 0.5000
O3 0.5000 0.0000 0.0000
Ru1 0.0000 0.0000 0.0000
```

## Properties
Density of states at the Fermi level ... 0.7164 states/eV/atom
Uncorrected formation energy ... -0.4980 eV/atom
Space-group type ... Pm-3m (221)

9.
Compound: SbRuO2
Source: the Alexandria database
Functional: PBE
Structure: relaxed

CIF file:
```
data_SbRuO2
_symmetry_space_group_name_H-M 'P 1'
_symmetry_Int_Tables_number 1
_cell_length_a 7.4954
_cell_length_b 7.4954
_cell_length_c 7.4954
_cell_angle_alpha 22.79
_cell_angle_beta 22.79
_cell_angle_gamma 22.79
loop_
_symmetry_equiv_pos_as_xyz
'x,y,z'
loop_
_atom_site_label
_atom_site_fract_x
_atom_site_fract_y
_atom_site_fract_z
Sb1 0.5000 0.5000 0.5000
O1 0.9156 0.9156 0.9156
O2 0.0844 0.0844 0.0844
Ru1 0.0000 0.0000 0.0000
```

## Properties
Density of states at the Fermi level ... 1.0575 states/eV/atom
Uncorrected formation energy ... -0.2243 eV/atom
Space-group type ... R-3m (166)

10.
Compound: SbRuO2
Source: the Alexandria database
Functional: PBE
Structure: relaxed

CIF file:
```
data_SbRuO2
_symmetry_space_group_name_H-M 'P 1'
_symmetry_Int_Tables_number 1
_cell_length_a 6.6509
_cell_length_b 6.6509
_cell_length_c 6.6509
_cell_angle_alpha 27.96
_cell_angle_beta 27.96
_cell_angle_gamma 27.96
loop_
_symmetry_equiv_pos_as_xyz
'x,y,z'
loop_
_atom_site_label
_atom_site_fract_x
_atom_site_fract_y
_atom_site_fract_z
Sb1 0.0000 0.0000 0.0000
O1 0.8831 0.8831 0.8831
O2 0.1169 0.1169 0.1169
Ru1 0.5000 0.5000 0.5000
```

## Properties
Density of states at the Fermi level ... 1.4123 states/eV/atom
Uncorrected formation energy ... -0.5421 eV/atom
Space-group type ... R-3m (166)

11.
Compound: SbRuO3
Source: the Alexandria database
Functional: PBE
Structure: relaxed

CIF file:
```
data_SbRuO3
_symmetry_space_group_name_H-M 'P 1'
_symmetry_Int_Tables_number 1
_cell_length_a 4.0126
_cell_length_b 4.0126
_cell_length_c 4.0126
_cell_angle_alpha 90.00
_cell_angle_beta 90.00
_cell_angle_gamma 90.00
loop_
_symmetry_equiv_pos_as_xyz
'x,y,z'
loop_
_atom_site_label
_atom_site_fract_x
_atom_site_fract_y
_atom_site_fract_z
Sb1 0.0000 0.0000 0.0000
O1 0.0000 0.5000 0.0000
O2 0.0000 0.0000 0.5000
O3 0.5000 0.0000 0.0000
Ru1 0.5000 0.5000 0.5000
```

## Properties
Density of states at the Fermi level ... 0.8832 states/eV/atom
Uncorrected formation energy ... -0.1527 eV/atom
Space-group type ... Pm-3m (221)

12.
Compound: SbRuO4
Source: the Alexandria database
Functional: PBE
Structure: relaxed

CIF file:
```
data_SbRuO4
_symmetry_space_group_name_H-M 'P 1'
_symmetry_Int_Tables_number 1
_cell_length_a 4.7198
_cell_length_b 5.6708
_cell_length_c 5.6414
_cell_angle_alpha 111.49
_cell_angle_beta 90.00
_cell_angle_gamma 90.00
loop_
_symmetry_equiv_pos_as_xyz
'x,y,z'
loop_
_atom_site_label
_atom_site_fract_x
_atom_site_fract_y
_atom_site_fract_z
Sb1 0.5000 0.5000 0.0000
Sb2 0.0000 0.0000 0.0000
Ru1 0.0000 0.5000 0.5000
Ru2 0.5000 0.0000 0.5000
O1 0.3116 0.8453 0.1494
O2 0.1884 0.3453 0.1494
O3 0.6912 0.6542 0.3525
O4 0.1912 0.8458 0.6475
O5 0.8088 0.1542 0.3525
O6 0.3088 0.3458 0.6475
O7 0.8116 0.6547 0.8506
O8 0.6884 0.1547 0.8506
```

## Properties
Density of states at the Fermi level ... 0.4422 states/eV/atom
Uncorrected formation energy ... -1.1468 eV/atom
Space-group type ... P2_1/c (14)

> Among the records above, which one has the highest uncorrected formation energy?

TeRuS2O

> What is the uncorrected formation energy in the twelfth record?

-1.1468 eV/atom